A geometry-optimized Zr3Ti2Co3 structure, computed with PBE.

Values from the calculation:
- Total DFT energy (no corrections): -8.137 eV/atom
- DOS at the Fermi energy: 15.742 states/eV per cell
- Crystal system: orthorhombic
- DFT formation energy: -0.29 eV per atom
- Magnetic moment: 0.00 Bohr magnetons per cell

Structure (POSCAR):
```
Zr3Ti2Co3
1.0
3.395 0.000 0.000
-1.698 5.535 0.000
0.000 0.000 14.215
Zr Ti Co
6 4 6
Direct
0.954 0.907 0.370 Zr
0.046 0.093 0.870 Zr
0.954 0.907 0.130 Zr
0.046 0.093 0.630 Zr
0.660 0.319 0.250 Zr
0.340 0.681 0.750 Zr
0.770 0.540 0.918 Ti
0.230 0.460 0.418 Ti
0.770 0.540 0.582 Ti
0.230 0.460 0.082 Ti
0.599 0.198 0.465 Co
0.401 0.802 0.965 Co
0.599 0.198 0.035 Co
0.401 0.802 0.535 Co
0.351 0.702 0.250 Co
0.649 0.298 0.750 Co
```